{
  "formula": "Ba2WO3F4",
  "functional": "meta-GGA SCAN",
  "state": "single point on PBEsol structure",
  "cell": [[7.1869, -0.0084, 0.0085], [3.3846, 6.5832, 0.0265], [-3.3846, 0.0802, 6.5828]],
  "species": ["W", "W", "Ba", "Ba", "Ba", "Ba", "O", "O", "O", "O", "O", "O", "F", "F", "F", "F", "F", "F", "F", "F"],
  "frac_coords": [[0.5056, 0.0326, 0.0270], [0.0056, 0.9730, 0.9674], [0.8867, 0.5016, 0.8464], [0.3867, 0.1536, 0.4984], [0.5540, 0.5003, 0.2611], [0.0540, 0.7389, 0.4997], [0.7605, 0.9255, 0.9486], [0.3756, 0.2736, 0.9130], [0.2605, 0.0514, 0.0745], [0.8756, 0.0870, 0.7264], [0.1637, 0.7177, 0.9138], [0.6637, 0.0862, 0.2823], [0.6763, 0.7721, 0.5277], [0.8587, 0.2514, 0.0819], [0.4994, 0.4772, 0.5971], [0.1584, 0.8955, 0.2757], [0.6584, 0.7243, 0.1045], [0.3587, 0.9181, 0.7486], [0.9994, 0.4029, 0.5228], [0.1763, 0.4723, 0.2279]],
  "space_group": "No. 9",
  "formation_energy_uncorrected_ev_per_fu": -33.82,
  "n_ef_per_ev_atom": 0.000
}

***

{
  "formula": "LiMgTe4",
  "functional": "meta-GGA SCAN",
  "state": "single point on PBEsol structure",
  "cell": [[6.3770, 0.0000, 0.0000], [3.1885, 5.5226, 0.0000], [3.1885, 1.8409, 5.2068]],
  "species": ["Li", "Te", "Te", "Te", "Te", "Mg"],
  "frac_coords": [[0.7500, 0.7500, 0.7500], [0.3745, 0.3745, 0.8766], [0.8766, 0.3745, 0.3745], [0.3745, 0.3745, 0.3745], [0.3745, 0.8766, 0.3745], [0.0000, 0.0000, 0.0000]],
  "space_group": "No. 216",
  "formation_energy_uncorrected_ev_per_fu": 0.99,
  "n_ef_per_ev_atom": 0.782
}

***

{
  "formula": "Pr3Sb4Au3",
  "functional": "meta-GGA SCAN",
  "state": "single point on PBEsol structure",
  "cell": [[8.6589, 0.0000, 0.0000], [-2.8863, 8.1637, 0.0000], [-2.8863, -4.0818, 7.0700]],
  "species": ["Au", "Au", "Au", "Au", "Au", "Au", "Sb", "Sb", "Sb", "Sb", "Sb", "Sb", "Sb", "Sb", "Pr", "Pr", "Pr", "Pr", "Pr", "Pr"],
  "frac_coords": [[0.1250, 0.2500, 0.3750], [0.7500, 0.6250, 0.8750], [0.8750, 0.1250, 0.7500], [0.2500, 0.8750, 0.6250], [0.6250, 0.3750, 0.2500], [0.3750, 0.7500, 0.1250], [0.5000, 0.3263, 0.5000], [0.0000, 0.5000, 0.3263], [0.0000, 0.5000, 0.8263], [0.5000, 0.8263, 0.5000], [0.6737, 0.6737, 0.1737], [0.8263, 0.0000, 0.0000], [0.3263, 0.0000, 0.0000], [0.1737, 0.1737, 0.6737], [0.8750, 0.7500, 0.6250], [0.3750, 0.6250, 0.7500], [0.7500, 0.1250, 0.3750], [0.6250, 0.2500, 0.8750], [0.1250, 0.8750, 0.2500], [0.2500, 0.3750, 0.1250]],
  "space_group": "No. 220",
  "formation_energy_uncorrected_ev_per_fu": -10.96
}

***

{
  "formula": "MnCu2Ir",
  "functional": "meta-GGA SCAN",
  "state": "single point on PBEsol structure",
  "cell": [[4.1373, 0.0000, 0.0000], [2.0686, 3.5830, 0.0000], [2.0686, 1.1943, 3.3781]],
  "species": ["Ir", "Cu", "Cu", "Mn"],
  "frac_coords": [[0.5000, 0.5000, 0.5000], [0.7500, 0.7500, 0.7500], [0.0000, 0.0000, 0.0000], [0.2500, 0.2500, 0.2500]],
  "space_group": "No. 216",
  "formation_enthalpy_0k_ev_per_atom": -0.081,
  "n_ef_per_ev_atom": 0.429
}

***

It is found that the M_tot values, taken in the order of the records, are 0.0000, 0.0000, 0.0000, 1.0058 μB per atom.
It is found that the calculated total energy values, taken in the order of the records, are -0.792, -0.952, -1.828, -1.103 Ha/atom.